1.
Compound: MnFe2Tc
Source: Alexandria via LeMat-Bulk
Functional: PBE-GGA
Structure: relaxed

Cell and atoms, written as extended XYZ:
```
4
Lattice="-3.7456 -2.3780 0.1149 -0.2677 -2.4994 -3.6577 3.2474 0.5427 2.9762" Properties=species:S:1:pos:R:3 pbc="T T T"
Fe 0.0000 0.0000 0.0000
Fe 0.4865 -2.1977 -1.2265
Mn -2.0066 -2.4387 -1.7714
Tc -1.2524 -2.1370 0.6599
```

Values from the calculation:
- Total magnetic moment: 0.336 Bohr magnetons per cell
- Symmetry: I-4m2, No. 119
- E_tot: -36.21 eV/cell


2.
Compound: MnFe2Tc
Source: Alexandria via LeMat-Bulk
Functional: PBE-GGA
Structure: relaxed

Cell and atoms, written as extended XYZ:
```
4
Lattice="2.5481 0.0001 0.0000 -0.8353 2.4073 0.0000 0.0000 0.0000 8.1420" Properties=species:S:1:pos:R:3 pbc="T T T"
Fe 0.0000 0.0000 0.0778
Fe 0.8564 1.2037 2.0442
Mn 0.0000 0.0000 4.0176
Tc 0.8564 1.2037 6.0734
```

Values from the calculation:
- Total magnetic moment: 6.357 Bohr magnetons per cell
- Symmetry: Cmm2, No. 35
- E_tot: -35.98 eV/cell


3.
Compound: MnFeTc2
Source: Alexandria via LeMat-Bulk
Functional: PBE-GGA
Structure: relaxed

Cell and atoms, written as extended XYZ:
```
8
Lattice="6.6870 0.0000 0.0000 0.0000 6.6870 0.0000 3.3435 3.3435 2.5326" Properties=species:S:1:pos:R:3 pbc="T T T"
Mn 3.3435 3.3435 0.0000
Mn 3.3435 6.6870 1.2663
Tc 4.8231 1.6717 0.6332
Tc 1.8639 5.0152 0.6332
Tc 5.0152 5.2073 1.8995
Tc 8.3587 8.1666 1.8995
Fe 0.0000 0.0000 0.0000
Fe 6.6870 3.3435 1.2663
```

Values from the calculation:
- Total magnetic moment: 5.648 Bohr magnetons per cell
- Symmetry: I-42d, No. 122
- E_tot: -71.41 eV/cell